A plane-wave DFT calculation with GGA-PBE was carried out for crystalline La6SmDy2 at its relaxed geometry.

a b c (Å): 3.6689 3.6689 27.6526
angles (deg): 90.00 90.00 120.00
Atoms (fractional coordinates):
La 0.6667 0.3333 0.8913
La 0.3333 0.6667 0.4339
La 0.3333 0.6667 0.7767
La 0.3333 0.6667 0.2233
La 0.3333 0.6667 0.5661
La 0.6667 0.3333 0.1087
Sm 0.3333 0.6667 0.0000
Dy 0.6667 0.3333 0.3301
Dy 0.6667 0.3333 0.6699

Results
E_tot   -42.98 eV per cell
Spin magnetization   0.000 μB/atom
Energy above the most stable polymorph in this dataset   0.0 meV/atom
Calculated formation energy   57 meV per atom